# 1
TbNpIr (PBE-GGA, optimized geometry); offset from the most stable computed form = 7.88 kcal/mol of atoms; magnetic moment = 3.91 Bohr magnetons per cell; formation energy from the elements = -0.022 eV per atom; space-group type = No. 156
1.0
4.850 0.000 0.000
-2.425 4.200 0.000
0.000 0.000 3.120
Tb Np Ir
1 1 1
direct
0.000 0.000 0.000
0.333 0.667 0.375
0.667 0.333 0.649

# 2
Tb3NpIr8 (PBE-GGA, optimized geometry); magnetic moment = 3.50 Bohr magnetons per cell; formation energy from the elements = -0.698 eV per atom; space-group type = No. 160
1.0
2.683 1.549 8.749
-2.683 1.549 8.749
0.000 -3.098 8.749
Tb Np Ir
3 1 8
direct
0.000 0.000 0.000
0.125 0.125 0.125
0.626 0.626 0.626
0.501 0.501 0.501
0.063 0.063 0.560
0.063 0.560 0.063
0.065 0.563 0.563
0.313 0.313 0.313
0.560 0.063 0.063
0.563 0.065 0.563
0.563 0.563 0.066
0.813 0.813 0.813

# 3
NpTcIr2 (PBE-GGA, optimized geometry); offset from the most stable computed form = 5.50 kcal/mol of atoms; magnetic moment = 2.43 Bohr magnetons per cell; formation energy from the elements = -0.064 eV per atom; space-group type = No. 166
1.0
1.378 0.796 9.709
-1.378 0.796 9.709
0.000 -1.591 9.709
Np Tc Ir
1 1 2
direct
0.000 0.000 0.000
0.500 0.500 0.500
0.242 0.242 0.242
0.758 0.758 0.758

# 4
NpTc2Ir (PBE-GGA, optimized geometry); magnetic moment = 0.01 Bohr magnetons per cell; formation energy from the elements = -0.109 eV per atom; space-group type = No. 123
1.0
4.050 0.000 0.000
0.000 4.050 0.000
0.000 0.000 3.929
Np Tc Ir
1 2 1
direct
0.000 0.000 0.000
0.000 0.500 0.500
0.500 0.000 0.500
0.500 0.500 0.000

# 5
NpTcIr2 (PBE-GGA, optimized geometry); offset from the most stable computed form = 0.00 kcal/mol of atoms; magnetic moment = 0.73 Bohr magnetons per cell; formation energy from the elements = -0.303 eV per atom; space-group type = No. 123
1.0
3.974 0.000 0.000
0.000 3.974 0.000
0.000 0.000 4.116
Np Tc Ir
1 1 2
direct
0.000 0.000 0.000
0.500 0.500 0.000
0.000 0.500 0.500
0.500 0.000 0.500

# 6
NpTiTcIr (PBE-GGA, optimized geometry); magnetic moment = 3.30 Bohr magnetons per cell; formation energy from the elements = -0.296 eV per atom; space-group type = No. 216
1.0
0.000 3.254 3.254
3.254 0.000 3.254
3.254 3.254 0.000
Np Ti Tc Ir
1 1 1 1
direct
0.000 0.000 0.000
0.500 0.500 0.500
0.750 0.750 0.750
0.250 0.250 0.250